[1]
A plane-wave DFT calculation with SCAN was carried out for a crystal of InTcSb2 relaxed with PBEsol.

Computed properties:
calculated density	8.83	g/cm3
crystal system	tetragonal
E	-35.693	eV per atom

Cell lengths 3.2397, 3.2397, 8.1806 Å; angles 90.00, 90.00, 90.00 degrees
Last column: nearest neighbours and their distance in Å.
Space group P4/mmm (No. 123)
Inequivalent atoms, fractional coordinates:
In: 0.0000 0.0000 0.0000 (multiplicity 1)  4 In 3.24, 8 Sb 3.38
Tc: 0.0000 0.0000 0.5000 (multiplicity 1)  8 Sb 2.80
Sb: 0.5000 0.5000 0.3035 (multiplicity 2)  4 Tc 2.80

[2]
A plane-wave DFT calculation with SCAN was carried out for a crystal of InTcSb2Te relaxed with PBEsol.

Computed properties:
calculated density	6.90	g/cm3
crystal system	tetragonal
E	-35.627	eV per atom

Cell lengths 5.0091, 5.0091, 5.6033 Å; angles 90.00, 90.00, 90.00 degrees
Last column: nearest neighbours and their distance in Å.
Space group P4/mmm (No. 123)
Inequivalent atoms, fractional coordinates:
In: 0.0000 0.0000 0.0000 (multiplicity 1)  4 Te 3.54, 8 Sb 3.76
Tc: 0.5000 0.5000 0.5000 (multiplicity 1)  4 Sb 2.50, 2 Te 2.80
Sb: 0.0000 0.5000 0.5000 (multiplicity 2)  2 Tc 2.50
Te: 0.5000 0.5000 0.0000 (multiplicity 1)  2 Tc 2.80

[3]
A plane-wave DFT calculation with SCAN was carried out for a crystal of ZnIn2TcSb relaxed with PBEsol.

Computed properties:
calculated density	5.60	g/cm3
crystal system	tetragonal
E	-29.193	eV per atom

Cell lengths 5.5694, 5.5694, 4.9221 Å; angles 90.00, 90.00, 90.00 degrees
Last column: nearest neighbours and their distance in Å.
Space group P4/mmm (No. 123)
Inequivalent atoms, fractional coordinates:
Zn: 0.0000 0.0000 0.0000 (multiplicity 1)  2 Sb 2.46
In: 0.0000 0.5000 0.5000 (multiplicity 2)  2 Sb 2.78
Tc: 0.5000 0.5000 0.0000 (multiplicity 1)  8 In 3.72, 4 Zn 3.94
Sb: 0.0000 0.0000 0.5000 (multiplicity 1)  2 Zn 2.46

[4]
A plane-wave DFT calculation with SCAN was carried out for a crystal of InSbTe2 relaxed with PBEsol.

Computed properties:
calculated density	7.58	g/cm3
crystal system	tetragonal
E	-36.172	eV per atom

Cell lengths 3.7753, 3.7753, 7.5615 Å; angles 90.00, 90.00, 90.00 degrees
Last column: nearest neighbours and their distance in Å.
Space group P4/mmm (No. 123)
Inequivalent atoms, fractional coordinates:
In: 0.0000 0.0000 0.0000 (multiplicity 1)  8 Te 3.30
Sb: 0.0000 0.0000 0.5000 (multiplicity 1)  8 Te 3.24
Te: 0.5000 0.5000 0.2560 (multiplicity 2)  4 Sb 3.24, 4 In 3.30

[5]
A plane-wave DFT calculation with SCAN was carried out for a crystal of InSbTe2 relaxed with PBEsol.

Computed properties:
calculated density	6.84	g/cm3
crystal system	tetragonal
E	-36.458	eV per atom

Cell lengths 4.3994, 4.3994, 6.1686 Å; angles 90.00, 90.00, 90.00 degrees
Last column: nearest neighbours and their distance in Å.
Space group P4/mmm (No. 123)
Inequivalent atoms, fractional coordinates:
In: 0.0000 0.0000 0.0000 (multiplicity 1)  6 Te 3.08-3.11
Sb: 0.5000 0.5000 0.5000 (multiplicity 1)  6 Te 3.08-3.11
Te: 0.0000 0.0000 0.5000 (multiplicity 1)  2 In 3.08, 4 Sb 3.11
Te: 0.5000 0.5000 0.0000 (multiplicity 1)  2 Sb 3.08, 4 In 3.11

[6]
A plane-wave DFT calculation with SCAN was carried out for a crystal of InSbTe2 relaxed with PBEsol.

Computed properties:
calculated density	6.84	g/cm3
crystal system	orthorhombic
E	-36.403	eV per atom

Cell lengths 4.5321, 4.3312, 12.1649 Å; angles 90.00, 90.00, 90.00 degrees
Last column: nearest neighbours and their distance in Å.
Space group Amm2 (No. 38)
Inequivalent atoms, fractional coordinates:
In: 0.0000 0.0000 0.0000 (multiplicity 2)  5 Te 3.14
Sb: 0.5000 0.0000 0.2619 (multiplicity 2)  1 Te 2.78
Te: 0.0000 0.0000 0.7422 (multiplicity 2)  1 In 3.14, 4 Sb 3.14
Te: 0.5000 0.0000 0.4904 (multiplicity 2)  1 Sb 2.78

[7]
A plane-wave DFT calculation with SCAN was carried out for a crystal of In3SbTe2 relaxed with PBEsol.

Computed properties:
calculated density	7.04	g/cm3
crystal system	orthorhombic
excess energy over the best structure of this formula in the dataset	0.0	meV/atom
E	-35.547	eV per atom

Cell lengths 4.3283, 6.0763, 12.9362 Å; angles 90.00, 90.00, 90.00 degrees
Last column: nearest neighbours and their distance in Å.
Space group Immm (No. 71)
Inequivalent atoms, fractional coordinates:
In: 0.0000 0.0000 0.0000 (multiplicity 2)  2 Sb 3.04, 4 Te 3.10
In: 0.0000 0.0000 0.3407 (multiplicity 4)  2 Sb 2.99, 4 Te 3.04-3.08
Sb: 0.0000 0.5000 0.0000 (multiplicity 2)  6 In 2.99-3.04
Te: 0.0000 0.5000 0.3289 (multiplicity 4)  6 In 3.04-3.10

[8]
A plane-wave DFT calculation with SCAN was carried out for a crystal of In3SbTe2 relaxed with PBEsol.

Computed properties:
calculated density	7.04	g/cm3
crystal system	trigonal
excess energy over the best structure of this formula in the dataset	6.7	meV/atom
E	-35.541	eV per atom

Cell lengths 4.3209, 4.3209, 10.5261 Å; angles 90.00, 90.00, 120.00 degrees
Last column: nearest neighbours and their distance in Å.
Space group P-3m1 (No. 164)
Inequivalent atoms, fractional coordinates:
In: 0.0000 0.0000 0.0000 (multiplicity 1)  6 Te 3.07
In: 0.3333 0.6667 0.6556 (multiplicity 2)  3 Sb 2.98, 3 Te 3.10
Sb: 0.0000 0.0000 0.5000 (multiplicity 1)  6 In 2.98
Te: 0.3333 0.6667 0.1692 (multiplicity 2)  6 In 3.07-3.10

[9]
A plane-wave DFT calculation with SCAN was carried out for a crystal of InSbTe2 relaxed with PBEsol.

Computed properties:
calculated density	7.60	g/cm3
crystal system	orthorhombic
E	-36.105	eV per atom

Cell lengths 3.7058, 5.3190, 10.9076 Å; angles 90.00, 90.00, 90.00 degrees
Last column: nearest neighbours and their distance in Å.
Space group Cmmm (No. 65)
Inequivalent atoms, fractional coordinates:
In: 0.0000 0.0000 0.0000 (multiplicity 2)  4 In 3.24, 4 Te 3.33
Sb: 0.0000 0.0000 0.5000 (multiplicity 2)  4 Sb 3.24, 4 Te 3.27
Te: 0.0000 0.5000 0.2535 (multiplicity 4)  4 Te 3.24, 2 Sb 3.27, 2 In 3.33

[10]
A plane-wave DFT calculation with SCAN was carried out for a crystal of TiInSbTe2 relaxed with PBEsol.

Computed properties:
calculated density	6.07	g/cm3
crystal system	tetragonal
E	-32.298	eV per atom

Cell lengths 5.2905, 5.2905, 5.2763 Å; angles 90.00, 90.00, 90.00 degrees
Last column: nearest neighbours and their distance in Å.
Space group P4/mmm (No. 123)
Inequivalent atoms, fractional coordinates:
Ti: 0.0000 0.0000 0.0000 (multiplicity 1)  2 Sb 2.64, 4 Te 2.65
In: 0.5000 0.5000 0.5000 (multiplicity 1)  8 Te 3.74, 4 Sb 3.74
Sb: 0.0000 0.0000 0.5000 (multiplicity 1)  2 Ti 2.64
Te: 0.0000 0.5000 0.0000 (multiplicity 2)  2 Ti 2.65

[11]
A plane-wave DFT calculation with SCAN was carried out for a crystal of Tl2InSb relaxed with PBEsol.

Computed properties:
calculated density	9.69	g/cm3
crystal system	monoclinic
excess energy over the best structure of this formula in the dataset	32.6	meV/atom
E	-53.791	eV per atom

Cell lengths 10.8063, 3.2353, 6.3521 Å; angles 90.00, 95.15, 90.00 degrees
Last column: nearest neighbours and their distance in Å.
Space group Cm (No. 8)
Inequivalent atoms, fractional coordinates:
Tl: 0.0000 0.0000 0.0000 (multiplicity 2)  5 Tl 3.24-3.45, 3 Sb 3.34-3.43, 4 In 3.55-3.58
Tl: 0.2469 0.0000 0.7453 (multiplicity 2)  3 In 3.23-3.43, 5 Tl 3.24-3.45, 2 Sb 3.45
In: 0.4948 0.0000 0.4966 (multiplicity 2)  3 Sb 3.21-3.36, 7 Tl 3.23-3.58, 2 In 3.24
Sb: 0.2468 0.5000 0.2648 (multiplicity 2)  3 In 3.21-3.36, 2 Sb 3.24, 5 Tl 3.34-3.45

[12]
A plane-wave DFT calculation with SCAN was carried out for a crystal of Tl2InSb relaxed with PBEsol.

Computed properties:
calculated density	9.74	g/cm3
crystal system	orthorhombic
excess energy over the best structure of this formula in the dataset	41.5	meV/atom
E	-53.782	eV per atom

Cell lengths 3.2130, 5.2488, 6.5274 Å; angles 90.00, 90.00, 90.00 degrees
Last column: nearest neighbours and their distance in Å.
Space group Pmmm (No. 47)
Inequivalent atoms, fractional coordinates:
Tl: 0.0000 0.0000 0.2476 (multiplicity 2)  4 Tl 3.21-3.30, 4 Sb 3.48, 4 In 3.49
In: 0.5000 0.5000 0.5000 (multiplicity 1)  2 In 3.21, 2 Sb 3.26, 8 Tl 3.49
Sb: 0.5000 0.5000 0.0000 (multiplicity 1)  2 Sb 3.21, 2 In 3.26, 8 Tl 3.48

[13]
A plane-wave DFT calculation with SCAN was carried out for a crystal of Tl2InSb relaxed with PBEsol.

Computed properties:
calculated density	9.76	g/cm3
crystal system	orthorhombic
excess energy over the best structure of this formula in the dataset	30.3	meV/atom
E	-53.793	eV per atom

Cell lengths 4.1017, 5.1507, 10.3961 Å; angles 90.00, 90.00, 90.00 degrees
Last column: nearest neighbours and their distance in Å.
Space group Cmm2 (No. 35)
Inequivalent atoms, fractional coordinates:
Tl: 0.0000 0.0000 0.0000 (multiplicity 2)  6 Tl 3.29-3.44, 4 Sb 3.31-3.66
Tl: 0.0000 0.5000 0.2661 (multiplicity 2)  6 Tl 3.29-3.44, 4 In 3.33-3.68
In: 0.0000 0.0000 0.5185 (multiplicity 2)  4 Sb 3.16-3.53, 4 In 3.29, 2 Tl 3.33
Sb: 0.0000 0.5000 0.7502 (multiplicity 2)  4 In 3.16-3.53, 4 Sb 3.29, 2 Tl 3.31

[14]
A plane-wave DFT calculation with SCAN was carried out for a crystal of TlInSb2 relaxed with PBEsol.

Computed properties:
calculated density	8.79	g/cm3
crystal system	cubic
excess energy over the best structure of this formula in the dataset	207.6	meV/atom
E	-44.896	eV per atom

Cell lengths 7.5189, 7.5189, 7.5189 Å; angles 90.00, 90.00, 90.00 degrees
Last column: nearest neighbours and their distance in Å.
Space group Fm-3m (No. 225)
Inequivalent atoms, fractional coordinates:
Tl: 0.0000 0.0000 0.0000 (multiplicity 4)  8 Sb 3.26
In: 0.0000 0.0000 0.5000 (multiplicity 4)  8 Sb 3.26
Sb: 0.2500 0.2500 0.2500 (multiplicity 8)  4 Tl 3.26, 4 In 3.26

[15]
A plane-wave DFT calculation with SCAN was carried out for a crystal of TlInSb2 relaxed with PBEsol.

Computed properties:
calculated density	8.43	g/cm3
crystal system	orthorhombic
excess energy over the best structure of this formula in the dataset	138.5	meV/atom
E	-44.966	eV per atom

Cell lengths 3.3322, 4.9363, 6.7402 Å; angles 90.00, 90.00, 90.00 degrees
Last column: nearest neighbours and their distance in Å.
Space group Pmmm (No. 47)
Inequivalent atoms, fractional coordinates:
Tl: 0.0000 0.0000 0.0000 (multiplicity 1)  2 Tl 3.33, 2 In 3.37, 8 Sb 3.52
In: 0.0000 0.0000 0.5000 (multiplicity 1)  8 Sb 3.33, 2 In 3.33, 2 Tl 3.37
Sb: 0.5000 0.5000 0.2796 (multiplicity 2)  1 Sb 2.97, 4 In 3.33

[16]
A plane-wave DFT calculation with SCAN was carried out for a crystal of Tl2InSb relaxed with PBEsol.

Computed properties:
calculated density	9.67	g/cm3
crystal system	tetragonal
excess energy over the best structure of this formula in the dataset	26.1	meV/atom
E	-53.797	eV per atom

Cell lengths 4.9491, 4.9491, 9.0443 Å; angles 90.00, 90.00, 90.00 degrees
Last column: nearest neighbours and their distance in Å.
Space group I-4m2 (No. 119)
Inequivalent atoms, fractional coordinates:
Tl: 0.0000 0.0000 0.0000 (multiplicity 2)  4 Tl 3.35, 4 Sb 3.35, 4 In 3.50
Tl: 0.0000 0.5000 0.2500 (multiplicity 2)  4 Tl 3.35, 4 In 3.35, 4 Sb 3.50
In: 0.0000 0.0000 0.5000 (multiplicity 2)  8 Tl 3.35-3.50, 4 Sb 3.35
Sb: 0.0000 0.5000 0.7500 (multiplicity 2)  8 Tl 3.35-3.50, 4 In 3.35

[17]
A plane-wave DFT calculation with SCAN was carried out for a crystal of Tl2InSb relaxed with PBEsol.

Computed properties:
calculated density	9.72	g/cm3
crystal system	tetragonal
excess energy over the best structure of this formula in the dataset	43.2	meV/atom
E	-53.780	eV per atom

Cell lengths 4.7609, 4.7609, 9.7322 Å; angles 90.00, 90.00, 90.00 degrees
Last column: nearest neighbours and their distance in Å.
Space group I4/mmm (No. 139)
Inequivalent atoms, fractional coordinates:
Tl: 0.0000 0.5000 0.2500 (multiplicity 4)  4 Tl 3.37, 4 Sb 3.40, 4 In 3.40
In: 0.0000 0.0000 0.0000 (multiplicity 2)  4 Sb 3.37, 8 Tl 3.40
Sb: 0.0000 0.0000 0.5000 (multiplicity 2)  4 In 3.37, 8 Tl 3.40

[18]
A plane-wave DFT calculation with SCAN was carried out for a crystal of Tl2InSb relaxed with PBEsol.

Computed properties:
calculated density	9.71	g/cm3
crystal system	monoclinic
excess energy over the best structure of this formula in the dataset	6.8	meV/atom
E	-53.817	eV per atom

Cell lengths 3.2009, 5.3326, 6.5038 Å; angles 90.00, 96.25, 90.00 degrees
Last column: nearest neighbours and their distance in Å.
Space group Pm (No. 6)
Inequivalent atoms, fractional coordinates:
Tl: 0.0000 0.0000 0.0000 (multiplicity 1)  4 Tl 3.20-3.43, 4 In 3.37-3.55, 2 Sb 3.40-3.41
Tl: 0.3049 0.5000 0.7208 (multiplicity 1)  4 Tl 3.20-3.43, 2 Sb 3.37, 2 In 3.37-3.42
In: 0.6138 0.5000 0.2337 (multiplicity 1)  2 Sb 3.11, 2 In 3.20, 4 Tl 3.37-3.42
Sb: 0.6791 0.0000 0.4821 (multiplicity 1)  2 In 3.11, 2 Sb 3.20, 4 Tl 3.37-3.41

[19]
A plane-wave DFT calculation with SCAN was carried out for a crystal of Tl2InSb relaxed with PBEsol.

Computed properties:
calculated density	9.68	g/cm3
crystal system	orthorhombic
excess energy over the best structure of this formula in the dataset	0.0	meV/atom
E	-53.823	eV per atom

Cell lengths 3.5369, 4.1966, 7.4622 Å; angles 90.00, 90.00, 90.00 degrees
Last column: nearest neighbours and their distance in Å.
Space group Pmm2 (No. 25)
Inequivalent atoms, fractional coordinates:
Tl: 0.0000 0.0000 0.0000 (multiplicity 1)  4 Sb 3.36, 6 Tl 3.43-3.54, 1 In 3.53
Tl: 0.5000 0.5000 0.2756 (multiplicity 1)  4 In 3.32, 6 Tl 3.43-3.54, 1 Sb 3.47
In: 0.0000 0.0000 0.5265 (multiplicity 1)  4 Sb 3.18, 5 Tl 3.32-3.53, 2 In 3.54
Sb: 0.5000 0.5000 0.7412 (multiplicity 1)  4 In 3.18, 5 Tl 3.36-3.47, 2 Sb 3.54

[20]
A plane-wave DFT calculation with SCAN was carried out for a crystal of Tl2In2Sb relaxed with PBEsol.

Computed properties:
calculated density	8.87	g/cm3
crystal system	tetragonal
E	-49.697	eV per atom

Cell lengths 7.7722, 7.7722, 4.7104 Å; angles 90.00, 90.00, 90.00 degrees
Last column: nearest neighbours and their distance in Å.
Space group P4/mbm (No. 127)
Inequivalent atoms, fractional coordinates:
Tl: 0.1727 0.3273 0.0000 (multiplicity 4)  6 In 3.17-3.37
In: 0.1349 0.6349 0.5000 (multiplicity 4)  1 In 2.97, 2 Sb 3.03, 2 Tl 3.17
Sb: 0.0000 0.0000 0.5000 (multiplicity 2)  4 In 3.03

| no. | ΔE_f (raw) (eV per atom) |
| --- | --- |
| 1 | 0.049 |
| 2 | 0.417 |
| 3 | 1.329 |
| 4 | 0.115 |
| 5 | -0.170 |
| 6 | -0.116 |
| 7 | -0.227 |
| 8 | -0.220 |
| 9 | 0.182 |
| 10 | -0.062 |
| 11 | 0.050 |
| 12 | 0.059 |
| 13 | 0.048 |
| 14 | 0.170 |
| 15 | 0.101 |
| 16 | 0.044 |
| 17 | 0.061 |
| 18 | 0.024 |
| 19 | 0.018 |
| 20 | 0.054 |